Record 1
DFT (PBE) results for crystalline LiIn2CoSn at its relaxed geometry.

- Energy: -0.1359 hartree per atom
- Total moment: 0.000 Bohr magnetons per cell
- Energy relative to the elements: 0.001 eV/atom

Cell: 4.960 4.960 4.853 Å, 90.00 90.00 90.00°
Atoms (fractional coordinates):
Co  0.000  0.000  0.000
In  0.500  0.000  0.000
In  0.000  0.500  0.000
Sn  0.000  0.000  0.500
Li  0.500  0.500  0.500

Record 2
DFT (PBE) results for crystalline Pm8HoTm5 at its relaxed geometry.

- Energy: -0.1637 hartree per atom
- Total moment: 0.000 Bohr magnetons per cell
- Energy relative to the elements: 0.184 eV/atom

Cell: 9.380 7.709 9.380 Å, 107.95 119.04 108.53°
Atoms (fractional coordinates):
Pm  0.626  0.926  0.837
Pm  0.693  0.083  0.256
Pm  0.508  0.599  0.211
Pm  0.172  0.917  0.610
Pm  0.039  0.577  0.978
Pm  0.401  0.423  0.462
Pm  0.912  0.074  0.700
Pm  0.612  0.401  0.909
Tm  0.020  0.445  0.267
Tm  0.992  0.952  0.228
Tm  0.822  0.555  0.576
Tm  0.275  0.048  0.040
Tm  0.456  0.000  0.456
Ho  0.222  0.500  0.722

Record 3
DFT (PBE) results for crystalline TiTeHN2 at its relaxed geometry.

- Energy: -0.1789 hartree per atom
- Relative energy among the computed polymorphs: 3.07 eV per formula unit
- Total moment: 0.905 Bohr magnetons per cell

Cell: 4.097 4.097 3.338 Å, 90.00 90.00 90.00°
Atoms (fractional coordinates):
N  0.500  0.000  0.000
N  0.000  0.500  0.000
Te  0.000  0.000  0.500
H  0.000  0.000  0.000
Ti  0.500  0.500  0.500

Record 4
DFT (PBE) results for crystalline Fe2IrRh5 at its relaxed geometry.

- Energy: -0.2889 hartree per atom
- Relative energy among the computed polymorphs: 0.07 eV per formula unit
- Total moment: 14.539 Bohr magnetons per cell
- Energy relative to the elements: -0.044 eV/atom

Cell: 3.816 5.387 10.778 Å, 90.00 90.00 90.00°
Atoms (fractional coordinates):
Rh  0.000  0.498  0.249
Rh  0.500  0.749  0.124
Rh  0.000  0.500  0.500
Rh  0.500  0.249  0.376
Rh  0.000  0.002  0.749
Rh  0.500  0.251  0.876
Rh  0.500  0.751  0.624
Rh  0.000  0.000  0.000
Rh  0.000  0.502  0.751
Rh  0.000  0.998  0.251
Fe  0.500  0.750  0.375
Fe  0.500  0.250  0.625
Fe  0.500  0.250  0.125
Fe  0.500  0.750  0.875
Ir  0.000  0.000  0.500
Ir  0.000  0.500  0.000

Record 5
DFT (PBE) results for crystalline Rb2HI at its relaxed geometry.

- Energy: -0.0915 hartree per atom
- Relative energy among the computed polymorphs: 0.02 eV per formula unit
- Total moment: 0.000 Bohr magnetons per cell

Cell: 8.407 8.407 7.586 Å, 56.35 56.35 90.00°
Atoms (fractional coordinates):
Rb  0.375  0.456  0.750
Rb  0.875  0.794  0.750
Rb  0.544  0.125  0.250
Rb  0.206  0.625  0.250
I  0.000  0.000  0.000
I  0.750  0.250  0.500
H  0.500  0.500  0.000
H  0.250  0.750  0.500

Record 6
DFT (PBE) results for crystalline AsPbBr at its relaxed geometry.

- Energy: -0.1031 hartree per atom
- Relative energy among the computed polymorphs: 2.85 eV per formula unit
- ΔE_f (raw): 538 meV per atom
- Total moment: 0.008 Bohr magnetons per cell

Cell: 5.094 5.094 5.094 Å, 60.00 60.00 60.00°
Atoms (fractional coordinates):
As  0.500  0.500  0.500
Pb  0.000  0.000  0.000
Br  0.750  0.750  0.750

Record 7
DFT (PBE) results for crystalline NaUAg2I8 at its relaxed geometry.

- Energy: -0.1178 hartree per atom
- ΔE_f (raw): -646 meV per atom
- Total moment: 0.948 Bohr magnetons per cell

Cell: 7.540 8.007 9.424 Å, 69.86 91.13 101.47°
Atoms (fractional coordinates):
I  0.112  0.759  0.290
I  0.888  0.241  0.710
I  0.124  0.785  0.842
I  0.876  0.215  0.158
I  0.390  0.247  0.421
I  0.640  0.761  0.051
I  0.610  0.753  0.579
I  0.360  0.239  0.949
U  0.000  0.000  0.000
Na  0.000  0.000  0.500
Ag  0.462  0.630  0.349
Ag  0.538  0.370  0.651

Record 8
DFT (PBE) results for crystalline CoRePb2 at its relaxed geometry.

- Energy: -0.2096 hartree per atom
- Relative energy among the computed polymorphs: 2.30 eV per formula unit
- Total moment: 0.447 Bohr magnetons per cell
- Energy relative to the elements: 1.038 eV/atom

Cell: 3.178 3.178 8.500 Å, 90.00 90.00 115.61°
Atoms (fractional coordinates):
Co  0.500  0.500  0.750
Re  0.500  0.500  0.250
Pb  0.000  0.000  0.985
Pb  0.000  0.000  0.515